# 1
# Nd2Ni4SnP3

Nd2Ni4SnP3 after structural relaxation (PBE, Alexandria).

a = 4.047 Å, b = 4.047 Å, c = 9.904 Å
α = 90.00°, β = 90.00°, γ = 90.00°
Positions (direct):
Nd 0.000 0.500 0.231
Nd 0.500 0.000 0.769
Ni 0.000 0.000 0.000
Ni 0.000 0.500 0.648
Ni 0.500 0.000 0.352
Ni 0.500 0.500 0.000
Sn 0.000 0.000 0.500
P 0.000 0.500 0.877
P 0.500 0.000 0.123
P 0.500 0.500 0.500

Results
As for the space group: No. 115. The value obtained for the electronic total energy is -6.11 eV/atom. For the calculated formation energy, the calculation gives -0.820 eV/atom. Its crystal system is tetragonal.

=====

# 2
# Co2OsRh

Co2OsRh after structural relaxation (PBE, Alexandria).

a = 2.648 Å, b = 3.686 Å, c = 5.160 Å
α = 90.00°, β = 90.00°, γ = 90.00°
Positions (direct):
Co 0.000 0.000 0.000
Co 0.500 0.500 0.231
Os 0.000 0.000 0.474
Rh 0.500 0.500 0.739

Results
As for the space group: No. 25. For the polymorph energy (0 for the lowest one), the calculation gives 0.012 eV per atom. The value obtained for the electronic total energy is -8.07 eV/atom. For the calculated formation energy, the calculation gives 0.123 eV/atom. Its crystal system is orthorhombic.

=====

# 3
# CdIn2Se

CdIn2Se after structural relaxation (PBE, Alexandria).

a = 5.034 Å, b = 5.034 Å, c = 4.130 Å
α = 90.00°, β = 90.00°, γ = 90.00°
Positions (direct):
Cd 0.000 0.000 0.000
In 0.000 0.500 0.500
In 0.500 0.000 0.500
Se 0.500 0.500 0.000

Results
As for the space group: No. 123. For the polymorph energy (0 for the lowest one), the calculation gives 0.112 eV per atom. The value obtained for the electronic total energy is -2.55 eV/atom. Its crystal system is tetragonal.

=====

# 4
# LiSi2OsI

LiSi2OsI after structural relaxation (PBE, Alexandria).

a = 4.353 Å, b = 4.353 Å, c = 4.658 Å
α = 90.00°, β = 90.00°, γ = 90.00°
Positions (direct):
Li 0.000 0.000 0.000
Si 0.000 0.500 0.000
Si 0.500 0.000 0.000
Os 0.000 0.000 0.500
I 0.500 0.500 0.500

Results
As for the space group: No. 123. The value obtained for the electronic total energy is -3.78 eV/atom. Its crystal system is tetragonal.

=====

# 5
# La5Pm2Cd

La5Pm2Cd after structural relaxation (PBE, Alexandria).

a = 7.338 Å, b = 11.626 Å, c = 7.368 Å
α = 90.00°, β = 119.84°, γ = 90.00°
Positions (direct):
La 0.000 0.000 0.000
La 0.006 0.000 0.475
La 0.043 0.500 0.000
La 0.356 0.249 0.672
La 0.356 0.751 0.672
La 0.500 0.500 0.000
La 0.506 0.500 0.475
La 0.543 0.000 0.000
La 0.856 0.251 0.672
La 0.856 0.749 0.672
Pm 0.361 0.234 0.181
Pm 0.361 0.766 0.181
Pm 0.861 0.266 0.181
Pm 0.861 0.734 0.181
Cd 0.021 0.500 0.501
Cd 0.521 0.000 0.501

Results
As for the space group: No. 8. The value obtained for the electronic total energy is -4.44 eV/atom. For the calculated formation energy, the calculation gives -0.058 eV/atom. Its crystal system is monoclinic.

=====

# 6
# ZrGeSb2I

ZrGeSb2I after structural relaxation (PBE, Alexandria).

a = 5.644 Å, b = 5.644 Å, c = 5.538 Å
α = 90.00°, β = 90.00°, γ = 90.00°
Positions (direct):
Zr 0.000 0.000 0.000
Ge 0.500 0.500 0.500
Sb 0.000 0.500 0.000
Sb 0.500 0.000 0.000
I 0.000 0.000 0.500

Results
As for the space group: No. 123. For the polymorph energy (0 for the lowest one), the calculation gives 0.000 eV per atom. The value obtained for the electronic total energy is -4.17 eV/atom. Its crystal system is tetragonal.